Entry from Alexandria: Na2Np2PaS6 after structural relaxation (PBE).

Output
DOS(E_F), states/eV per cell: 21.642
Space-group type: C2/m, No. 12
Formation energy (no corrections), eV/f.u.: -15.67

Cell and atoms, written as POSCAR:
```
Na2Np2PaS6
1.0
-0.179 2.340 -6.537
-0.452 -6.818 1.245
-6.477 2.000 2.127
Na Np Pa S
2 2 1 6
direct
0.831 0.169 0.000 Na
0.169 0.831 0.000 Na
0.335 0.665 0.500 Np
0.665 0.335 0.500 Np
0.000 0.000 0.500 Pa
0.751 0.751 0.723 S
0.069 0.401 0.720 S
0.249 0.249 0.277 S
0.401 0.069 0.720 S
0.931 0.599 0.280 S
0.599 0.931 0.280 S
```